A relaxed structure of TlV3Cu5O13, computed with GGA+U.

Values from the calculation:
Symmetry   P-1, No. 2
D(E_F)   0.126 states/eV per atom
Total energy   -6.15 eV/atom
Total moment   2.9 μB per formula unit

abc: 6.212 8.325 10.942
angles: 97.40 92.96 90.71
Site moments in Bohr magnetons follow the coordinates.
Element x y z (fractional)
O 0.232 0.842 0.120  0.25
O 0.485 0.869 0.798  0.13
V 0.762 0.879 0.506  0.00
O 0.447 0.250 0.482  0.01
Cu 0.253 0.812 0.653  0.57
O 0.729 0.383 0.073  0.08
Cu 0.494 0.892 0.231  0.50
Cu 0.506 0.108 0.769  0.50
O 0.000 0.779 0.537  0.09
O 0.515 0.131 0.202  0.13
O 0.024 0.343 0.782  0.01
Cu 0.003 0.106 0.774  -0.30
O 0.262 0.961 0.383  0.04
Cu 0.997 0.894 0.226  -0.30
V 0.238 0.121 0.494  0.00
Cu 0.269 0.855 0.943  0.46
O 0.976 0.657 0.218  0.01
O 0.977 0.884 0.813  -0.01
Cu 0.731 0.145 0.057  0.46
O 0.237 0.381 0.118  0.05
O 0.242 0.054 0.660  0.10
O 0.000 0.221 0.463  0.09
O 0.553 0.750 0.518  0.01
Tl 0.249 0.527 0.408  0.00
O 0.738 0.039 0.617  0.04
V 0.743 0.527 0.207  0.11
V 0.261 0.179 0.122  0.05
O 0.252 0.582 0.669  0.04
O 0.763 0.619 0.882  0.05
O 0.274 0.089 0.970  0.07
O 0.768 0.158 0.880  0.25
Cu 0.747 0.188 0.347  0.57
Cu 0.228 0.604 0.107  0.52
O 0.748 0.418 0.331  0.04
O 0.477 0.345 0.784  0.04
O 0.271 0.617 0.927  0.08
O 0.023 0.116 0.187  -0.01
Cu 0.772 0.396 0.893  0.52
O 0.758 0.946 0.340  0.10
O 0.726 0.911 0.030  0.07
V 0.739 0.821 0.878  0.05
V 0.257 0.473 0.793  0.11
Tl 0.751 0.473 0.592  0.00
O 0.523 0.655 0.216  0.04